1.
{
  "formula": "Hg4AsSI2",
  "functional": "PBE",
  "state": "relaxed",
  "lattice": [[8.621, -0.075, -0.016], [-0.081, 8.621, -0.016], [-4.191, -4.194, 6.038]],
  "species": ["I", "S", "I", "As", "I", "Hg", "Hg", "I", "Hg", "Hg", "Hg", "Hg", "Hg", "Hg", "S", "As"],
  "fractional_positions": [[0.500, 0.500, 0.000], [0.500, 0.500, 0.500], [0.500, 0.000, 0.500], [0.000, 0.500, 0.000], [0.500, 0.000, 0.000], [0.199, 0.732, 0.966], [0.801, 0.268, 0.034], [0.000, 0.000, 0.500], [0.768, 0.301, 0.534], [0.773, 0.728, 0.966], [0.228, 0.273, 0.466], [0.772, 0.727, 0.534], [0.227, 0.272, 0.034], [0.232, 0.699, 0.466], [0.000, 0.000, 0.000], [0.000, 0.500, 0.500]],
  "m_tot_mub_per_fu": 0.00,
  "space_group": "No. 15"
}

=====

2.
{
  "formula": "HgSb2AsI",
  "functional": "PBE",
  "state": "relaxed",
  "lattice": [[-5.082, 0.293, -1.930], [-1.950, -1.039, 4.976], [-0.110, 5.814, 1.171]],
  "species": ["As", "Sb", "I", "Sb", "Hg"],
  "fractional_positions": [[0.000, 0.000, 0.000], [0.000, 0.500, 0.000], [0.000, 0.000, 0.500], [0.500, 0.000, 0.000], [0.500, 0.500, 0.500]],
  "polymorph_energy_mev_per_atom": 0,
  "m_tot_mub_per_fu": 0.57,
  "space_group": "No. 123"
}

=====

3.
{
  "formula": "HgSb2AsI",
  "functional": "PBE",
  "state": "relaxed",
  "lattice": [[5.634, 0.000, 0.000], [0.000, 5.634, 0.000], [0.000, 0.000, 5.706]],
  "species": ["Sb", "As", "Hg", "I", "Sb"],
  "fractional_positions": [[0.000, 0.500, 0.000], [0.500, 0.500, 0.500], [0.000, 0.000, 0.000], [0.000, 0.000, 0.500], [0.500, 0.000, 0.000]],
  "polymorph_energy_mev_per_atom": 445,
  "m_tot_mub_per_fu": 0.43,
  "space_group": "No. 123"
}

=====

no.,raw formation energy (eV/atom)
1,0.02
2,0.53
3,0.97